Model A:
DFT (GGA-PBE) results for an optimized crystal structure of Nd8MgHg2.

Lattice parameters (Å, degrees): 5.5774 8.8251 8.7881 119.76 108.50 90.00
Sites, in units of the cell vectors:
1 Nd 0.8607 0.8046 0.7214
2 Nd 0.0699 0.7249 0.1397
3 Nd 0.6812 0.9485 0.3624
4 Nd 0.9301 0.2751 0.8603
5 Nd 0.3188 0.0515 0.6376
6 Nd 0.1393 0.1954 0.2786
7 Nd 0.4064 0.5460 0.8127
8 Nd 0.5936 0.4540 0.1873
9 Hg 0.7687 0.3720 0.5373
10 Hg 0.2313 0.6280 0.4627
11 Mg 0.5000 0.0000 0.0000

SG	C2/m, No. 12
crystal system	monoclinic


Model B:
DFT (GGA-PBE) results for an optimized crystal structure of Nd8MgHg2.

Lattice parameters (Å, degrees): 5.2128 8.2521 9.2984 112.46 106.28 90.00
Sites, in units of the cell vectors:
1 Nd 0.3223 0.0438 0.6446
2 Nd 0.8243 0.7406 0.6486
3 Nd 0.1757 0.2594 0.3514
4 Nd 0.5933 0.4642 0.1866
5 Nd 0.6777 0.9562 0.3554
6 Nd 0.9593 0.2523 0.9187
7 Nd 0.0407 0.7477 0.0813
8 Nd 0.4067 0.5358 0.8134
9 Hg 0.8031 0.3440 0.6061
10 Hg 0.1969 0.6560 0.3939
11 Mg 0.5000 0.0000 0.0000

SG	C2/m, No. 12
crystal system	monoclinic


Quick one: least stable of them? model B


Model A:
DFT (GGA-PBE) results for an optimized crystal structure of NdMg2Hg.

Lattice parameters (Å, degrees): 3.3155 3.3155 11.4652 81.69 81.69 60.00
Sites, in units of the cell vectors:
1 Mg 0.9027 0.9027 0.2920
2 Mg 0.0973 0.0973 0.7080
3 Hg 0.5000 0.5000 0.5000
4 Nd 0.0000 0.0000 0.0000

SG	R-3m, No. 166
crystal system	trigonal


Model B:
DFT (GGA-PBE) results for an optimized crystal structure of NdMg2Hg.

Lattice parameters (Å, degrees): 5.1794 5.1833 5.1834 90.47 119.75 119.75
Sites, in units of the cell vectors:
1 Mg 0.1250 0.8126 0.9375
2 Mg 0.6250 0.0626 0.6875
3 Nd 0.1250 0.3125 0.4375
4 Hg 0.6250 0.5623 0.1876

SG	I-4m2, No. 119
crystal system	tetragonal


Model C:
DFT (GGA-PBE) results for an optimized crystal structure of NdMg2Hg.

Lattice parameters (Å, degrees): 5.1166 5.1166 5.1166 60.00 60.00 60.00
Sites, in units of the cell vectors:
1 Nd 0.0000 0.0000 0.0000
2 Mg 0.7500 0.7500 0.7500
3 Mg 0.2500 0.2500 0.2500
4 Hg 0.5000 0.5000 0.5000

SG	Fm-3m, No. 225
crystal system	cubic


Model D:
DFT (GGA-PBE) results for an optimized crystal structure of NdMg2Hg.

Lattice parameters (Å, degrees): 4.9308 4.5720 4.5720 90.00 90.00 90.00
Sites, in units of the cell vectors:
1 Mg 0.0000 0.0000 0.5000
2 Mg 0.0000 0.5000 0.0000
3 Nd 0.5000 0.5000 0.5000
4 Hg 0.5000 0.0000 0.0000

SG	P4/mmm, No. 123
crystal system	tetragonal


Quick one: least stable of them? model A


Model A:
DFT (GGA-PBE) results for an optimized crystal structure of Nd3MgHg2.

Lattice parameters (Å, degrees): 3.8447 5.3893 8.6690 108.11 90.00 90.00
Sites, in units of the cell vectors:
1 Nd 0.5000 0.5000 0.0000
2 Nd 0.5000 0.1699 0.3398
3 Nd 0.5000 0.8301 0.6602
4 Hg 0.0000 0.6561 0.3122
5 Hg 0.0000 0.3439 0.6878
6 Mg 0.0000 0.0000 0.0000

SG	Cmmm, No. 65
crystal system	orthorhombic


Model B:
DFT (GGA-PBE) results for an optimized crystal structure of Nd3MgHg2.

Lattice parameters (Å, degrees): 3.8681 3.8681 11.4512 90.00 90.00 90.00
Last column: magnetic moment on the atom in μB.
Sites, in units of the cell vectors:
1 Nd 0.0000 0.0000 0.0000  0.26
2 Nd 0.0000 0.0000 0.6691  0.09
3 Nd 0.0000 0.0000 0.3309  0.09
4 Mg 0.5000 0.5000 0.5000  0.00
5 Hg 0.5000 0.5000 0.1720  0.02
6 Hg 0.5000 0.5000 0.8280  0.02

SG	P4/mmm, No. 123
crystal system	tetragonal


Quick one: least stable of them? model B


Model A:
DFT (GGA-PBE) results for an optimized crystal structure of NdMgHg4.

Lattice parameters (Å, degrees): 5.9902 5.9902 5.9902 60.00 60.00 60.00
Sites, in units of the cell vectors:
1 Hg 0.6248 0.1255 0.6248
2 Hg 0.1255 0.6248 0.6248
3 Hg 0.6248 0.6248 0.6248
4 Hg 0.6248 0.6248 0.1255
5 Mg 0.0000 0.0000 0.0000
6 Nd 0.2500 0.2500 0.2500

SG	F-43m, No. 216
crystal system	cubic


Model B:
DFT (GGA-PBE) results for an optimized crystal structure of NdMgHg4.

Lattice parameters (Å, degrees): 4.5155 4.5155 8.4156 90.00 90.00 90.00
Sites, in units of the cell vectors:
1 Mg 0.5000 0.5000 0.5000
2 Hg 0.5000 0.0000 0.7261
3 Hg 0.5000 0.0000 0.2739
4 Hg 0.0000 0.5000 0.7261
5 Hg 0.0000 0.5000 0.2739
6 Nd 0.0000 0.0000 0.0000

SG	P4/mmm, No. 123
crystal system	tetragonal


Quick one: least stable of them? model A